*P*
A relaxed structure of SiGeSb2, computed with PBE.

```
SiGeSb2
1.0
-6.661 -1.388 -0.567
1.287 -6.617 1.084
-3.259 -3.297 5.247
Ge Si Sb
2 2 4
Direct
0.000 0.000 0.000 Ge
0.750 0.250 0.500 Ge
0.500 0.500 0.000 Si
0.250 0.750 0.500 Si
0.602 0.125 0.250 Sb
0.375 0.398 0.750 Sb
0.148 0.625 0.250 Sb
0.875 0.852 0.750 Sb
```

Values from the calculation:
- space-group type = No. 122

---

*Q*
A relaxed structure of SiGeSb2, computed with PBE.

```
SiGeSb2
1.0
3.978 2.747 1.315
-0.299 3.135 3.896
2.464 -1.030 4.239
Sb Si Ge
2 1 1
Direct
0.250 0.250 0.250 Sb
0.750 0.750 0.750 Sb
0.000 0.000 0.000 Si
0.500 0.500 0.500 Ge
```

Values from the calculation:
- space-group type = No. 225

---

Stability, descending: *P*, *Q*

---

*P*
A relaxed structure of SiGe2Sb, computed with PBE.

```
SiGe2Sb
1.0
0.000 3.444 3.444
3.444 0.000 3.444
3.444 3.444 0.000
Sb Si Ge
1 1 2
Direct
0.500 0.500 0.500 Sb
0.000 0.000 0.000 Si
0.250 0.250 0.250 Ge
0.750 0.750 0.750 Ge
```

Values from the calculation:
- space-group type = No. 225

---

*Q*
A relaxed structure of SiGe2Sb, computed with PBE.

```
SiGe2Sb
1.0
-2.886 -5.113 1.850
5.095 -3.274 -1.100
2.828 -3.271 5.612
Ge Sb Si
4 2 2
Direct
0.875 0.831 0.750 Ge
0.581 0.125 0.250 Ge
0.375 0.419 0.750 Ge
0.169 0.625 0.250 Ge
0.000 0.000 0.000 Sb
0.750 0.250 0.500 Sb
0.250 0.750 0.500 Si
0.500 0.500 0.000 Si
```

Values from the calculation:
- space-group type = No. 122

---

Stability, descending: *Q*, *P*

---

*P*
A relaxed structure of SmGeSb, computed with PBE.

```
SmGeSb
1.0
3.950 0.000 0.000
0.000 4.806 0.000
0.000 -2.403 4.162
Sb Ge Sm
1 1 1
Direct
0.166 0.000 0.000 Sb
0.167 0.667 0.333 Ge
0.667 0.333 0.667 Sm
```

Values from the calculation:
- space-group type = No. 156

---

*Q*
A relaxed structure of SmGeSb, computed with PBE.

```
SmGeSb
1.0
-0.144 3.491 2.194
-3.247 -1.668 2.440
7.255 -2.299 4.134
Sm Ge Sb
2 2 2
Direct
0.750 0.900 0.801 Sm
0.250 0.100 0.199 Sm
0.250 0.451 0.902 Ge
0.750 0.549 0.098 Ge
0.750 0.252 0.504 Sb
0.250 0.748 0.496 Sb
```

Values from the calculation:
- space-group type = No. 63

---

Stability, descending: *Q*, *P*

---

*P*
A relaxed structure of SnGeSb2, computed with PBE.

```
SnGeSb2
1.0
4.074 -0.066 -0.040
1.979 3.561 -0.040
1.948 1.125 7.431
Sn Sb Ge
1 2 1
Direct
0.504 0.504 0.500 Sn
0.253 0.253 0.231 Sb
0.074 0.074 0.777 Sb
0.669 0.669 0.993 Ge
```

Values from the calculation:
- space-group type = No. 8

---

*Q*
A relaxed structure of SnGeSb2, computed with PBE.

```
SnGeSb2
1.0
4.258 0.000 0.000
2.129 3.687 0.000
2.129 1.229 6.899
Sb Sn Ge
2 1 1
Direct
0.256 0.256 0.232 Sb
0.744 0.744 0.768 Sb
0.500 0.500 0.500 Sn
0.000 0.000 0.000 Ge
```

Values from the calculation:
- space-group type = No. 166

---

*R*
A relaxed structure of SnGeSb2, computed with PBE.

```
SnGeSb2
1.0
7.069 0.000 0.000
0.000 7.069 0.000
3.534 3.534 5.574
Sb Sn Ge
4 2 2
Direct
0.601 0.125 0.250 Sb
0.375 0.399 0.750 Sb
0.875 0.851 0.750 Sb
0.149 0.625 0.250 Sb
0.750 0.250 0.500 Sn
0.000 0.000 0.000 Sn
0.250 0.750 0.500 Ge
0.500 0.500 0.000 Ge
```

Values from the calculation:
- space-group type = No. 122

---

*S*
A relaxed structure of SnGeSb2, computed with PBE.

```
SnGeSb2
1.0
-2.256 -2.286 4.125
-3.476 2.642 2.876
-5.061 -1.297 -0.174
Sb Ge Sn
2 1 1
Direct
0.250 0.250 0.250 Sb
0.750 0.750 0.750 Sb
0.000 0.000 0.000 Ge
0.500 0.500 0.500 Sn
```

Values from the calculation:
- space-group type = No. 225

---

Stability, descending: *Q*, *P*, *R*, *S*

---

*P*
A relaxed structure of SnGe2Sb, computed with PBE.

```
SnGe2Sb
1.0
-3.674 -0.661 5.087
-4.340 -2.937 -3.516
-1.230 -7.428 2.060
Ge Sb Sn
4 2 2
Direct
0.875 0.871 0.750 Ge
0.129 0.625 0.250 Ge
0.375 0.379 0.750 Ge
0.621 0.125 0.250 Ge
0.000 0.000 0.000 Sb
0.750 0.250 0.500 Sb
0.250 0.750 0.500 Sn
0.500 0.500 0.000 Sn
```

Values from the calculation:
- space-group type = No. 122

---

*Q*
A relaxed structure of SnGe2Sb, computed with PBE.

```
SnGe2Sb
1.0
0.000 3.595 3.595
3.595 0.000 3.595
3.595 3.595 0.000
Sn Ge Sb
1 2 1
Direct
0.000 0.000 0.000 Sn
0.750 0.750 0.750 Ge
0.250 0.250 0.250 Ge
0.500 0.500 0.500 Sb
```

Values from the calculation:
- space-group type = No. 225

---

Stability, descending: *P*, *Q*

---

*P*
A relaxed structure of SnGeSb, computed with PBE.

```
SnGeSb
1.0
6.072 -0.038 -0.738
-2.670 5.453 0.738
-3.427 -1.623 4.834
Sn Ge Sb
2 2 2
Direct
0.500 0.500 0.500 Sn
0.000 0.000 0.500 Sn
0.750 0.061 0.811 Ge
0.250 0.939 0.189 Ge
0.749 0.393 0.142 Sb
0.251 0.607 0.858 Sb
```

Values from the calculation:
- space-group type = No. 12

---

*Q*
A relaxed structure of SnGeSb, computed with PBE.

```
SnGeSb
1.0
-2.250 -3.326 0.991
3.850 -0.462 -1.440
1.880 0.206 4.958
Ge Sn Sb
1 1 1
Direct
0.333 0.667 0.659 Ge
0.000 0.000 0.982 Sn
0.667 0.333 0.358 Sb
```

Values from the calculation:
- space-group type = No. 156

---

Stability, descending: *Q*, *P*

---

*P*
A relaxed structure of SnGeSb3, computed with PBE.

```
SnGeSb3
1.0
-3.244 -1.709 4.249
3.367 -4.420 0.793
3.105 3.008 3.580
Sb Ge Sn
3 1 1
Direct
0.000 0.500 0.000 Sb
0.500 0.000 0.000 Sb
0.000 0.000 0.500 Sb
0.500 0.500 0.500 Ge
0.000 0.000 0.000 Sn
```

Values from the calculation:
- space-group type = No. 221

---

*Q*
A relaxed structure of SnGeSb3, computed with PBE.

```
SnGeSb3
1.0
-1.579 -5.109 -0.467
4.020 -1.536 3.209
-3.188 0.594 4.278
Sb Ge Sn
3 1 1
Direct
0.500 0.000 0.000 Sb
0.000 0.000 0.500 Sb
0.000 0.500 0.000 Sb
0.000 0.000 0.000 Ge
0.500 0.500 0.500 Sn
```

Values from the calculation:
- space-group type = No. 221

---

Stability, descending: *Q*, *P*

---

*P*
A relaxed structure of SrGeSb3, computed with PBE.

```
SrGeSb3
1.0
-3.227 -3.444 -2.741
-1.912 -1.965 4.719
-3.965 3.751 -0.045
Sb Sr Ge
3 1 1
Direct
0.000 0.000 0.500 Sb
0.500 0.000 0.000 Sb
0.000 0.500 0.000 Sb
0.500 0.500 0.500 Sr
0.000 0.000 0.000 Ge
```

Values from the calculation:
- space-group type = No. 221

---

*Q*
A relaxed structure of SrGeSb3, computed with PBE.

```
SrGeSb3
1.0
-1.588 0.834 5.648
4.502 -3.423 1.770
3.511 4.765 0.284
Sr Ge Sb
1 1 3
Direct
0.000 0.000 0.000 Sr
0.500 0.500 0.500 Ge
0.500 0.000 0.000 Sb
0.000 0.500 0.000 Sb
0.000 0.000 0.500 Sb
```

Values from the calculation:
- space-group type = No. 221

---

Stability, descending: *P*, *Q*

---

*P*
A relaxed structure of Sr2GeSb, computed with PBE.

```
Sr2GeSb
1.0
4.476 0.000 0.000
0.000 5.227 0.000
0.000 0.000 5.227
Ge Sb Sr
1 1 2
Direct
0.500 0.500 0.500 Ge
0.500 0.000 0.000 Sb
0.000 0.000 0.500 Sr
0.000 0.500 0.000 Sr
```

Values from the calculation:
- space-group type = No. 123

---

*Q*
A relaxed structure of Sr2GeSb, computed with PBE.

```
Sr2GeSb
1.0
-7.769 -3.643 1.601
1.334 -5.693 -6.481
-1.709 -6.891 -0.177
Sb Sr Ge
2 4 2
Direct
0.000 0.000 0.000 Sb
0.750 0.250 0.500 Sb
0.875 0.864 0.750 Sr
0.375 0.386 0.750 Sr
0.136 0.625 0.250 Sr
0.614 0.125 0.250 Sr
0.250 0.750 0.500 Ge
0.500 0.500 0.000 Ge
```

Values from the calculation:
- space-group type = No. 122

---

Stability, descending: *P*, *Q*

---

*P*
A relaxed structure of Ta2Ge2Sb, computed with PBE.

```
Ta2Ge2Sb
1.0
-0.144 6.126 4.030
-3.633 -3.561 5.283
2.973 -0.883 1.449
Ge Sb Ta
4 2 4
Direct
0.870 0.630 0.000 Ge
0.370 0.870 0.000 Ge
0.630 0.130 0.000 Ge
0.130 0.370 0.000 Ge
0.500 0.500 0.000 Sb
0.000 0.000 0.000 Sb
0.163 0.663 0.500 Ta
0.337 0.163 0.500 Ta
0.837 0.337 0.500 Ta
0.663 0.837 0.500 Ta
```

Values from the calculation:
- space-group type = No. 127

---

*Q*
A relaxed structure of Ta2Ge2Sb, computed with PBE.

```
Ta2Ge2Sb
1.0
4.826 0.000 0.000
0.000 4.826 0.000
2.413 2.413 4.375
Ta Sb Ge
2 1 2
Direct
0.250 0.750 0.500 Ta
0.750 0.250 0.500 Ta
0.000 0.000 0.000 Sb
0.635 0.635 0.729 Ge
0.365 0.365 0.271 Ge
```

Values from the calculation:
- space-group type = No. 139

---

Stability, descending: *P*, *Q*

---

*P*
A relaxed structure of TaGe3Sb, computed with PBE.

```
TaGe3Sb
1.0
-1.329 3.371 3.533
-4.132 1.174 -2.675
-2.601 -3.587 2.444
Sb Ge Ta
1 3 1
Direct
0.500 0.500 0.500 Sb
0.500 0.000 0.000 Ge
0.000 0.000 0.500 Ge
0.000 0.500 0.000 Ge
0.000 0.000 0.000 Ta
```

Values from the calculation:
- space-group type = No. 221

---

*Q*
A relaxed structure of TaGe3Sb, computed with PBE.

```
TaGe3Sb
1.0
5.089 0.000 0.000
0.000 5.089 0.000
0.000 0.000 5.089
Ge Ta Sb
3 1 1
Direct
0.500 0.000 0.000 Ge
0.000 0.500 0.000 Ge
0.000 0.000 0.500 Ge
0.500 0.500 0.500 Ta
0.000 0.000 0.000 Sb
```

Values from the calculation:
- space-group type = No. 221

---

Stability, descending: *P*, *Q*

---

*P*
A relaxed structure of TaGeSb2Te, computed with PBE.

```
TaGeSb2Te
1.0
-3.758 -3.542 -0.071
0.640 -0.577 -5.092
3.514 -3.745 0.866
Sb Ta Ge Te
2 1 1 1
Direct
0.500 0.000 0.000 Sb
0.000 0.500 0.000 Sb
0.500 0.500 0.500 Ta
0.000 0.000 0.000 Ge
0.000 0.000 0.500 Te
```

Values from the calculation:
- space-group type = No. 123

---

*Q*
A relaxed structure of TaGeSb2Te, computed with PBE.

```
TaGeSb2Te
1.0
-2.885 -4.267 -1.653
3.969 -3.306 1.607
-2.236 -0.349 4.804
Te Sb Ta Ge
1 2 1 1
Direct
0.000 0.000 0.500 Te
0.500 0.000 0.000 Sb
0.000 0.500 0.000 Sb
0.000 0.000 0.000 Ta
0.500 0.500 0.500 Ge
```

Values from the calculation:
- space-group type = No. 123

---

Stability, descending: *Q*, *P*